# Sc2HgIr, relaxed, DFT PBE
# **Energy relative to the elements**: -1.23 eV/f.u.
# **D(E_F)**: 2.537 states/eV/cell
# **Uncorrected energy**: -23.06 eV/cell
# **Crystal system**: monoclinic
data_Sc2HgIr
_symmetry_space_group_name_H-M 'P 1 2/m 1'
_symmetry_Int_Tables_number 10
_cell_length_a 4.670
_cell_length_b 3.253
_cell_length_c 5.568
_cell_angle_alpha 90.00
_cell_angle_beta 103.08
_cell_angle_gamma 90.00
loop_
_symmetry_equiv_pos_as_xyz
'x,y,z'
'-x,-y,-z'
'-x,y,-z'
'x,-y,z'
loop_
_atom_site_label
_atom_site_type_symbol
_atom_site_fract_x
_atom_site_fract_y
_atom_site_fract_z
Sc1 Sc 0.000 0.000 0.000
Sc2 Sc 0.500 0.500 0.500
Hg1 Hg 0.000 0.000 0.500
Ir1 Ir 0.500 0.500 0.000



# Sc2HgIr, relaxed, DFT PBE
# **Energy relative to the elements**: 0.27 eV/f.u.
# **D(E_F)**: 11.118 states/eV/cell
# **Uncorrected energy**: -64.68 eV/cell
# **Crystal system**: trigonal
data_Sc2HgIr
_symmetry_space_group_name_H-M 'R -3 m'
_symmetry_Int_Tables_number 166
_symmetry_space_group_name_Hall '-R 3 2"'
_cell_length_a 3.1014
_cell_length_b 3.1014
_cell_length_c 29.6485
_cell_angle_alpha 90.00
_cell_angle_beta 90.00
_cell_angle_gamma 120.00
loop_
_atom_site_label
_atom_site_type_symbol
_atom_site_fract_x
_atom_site_fract_y
_atom_site_fract_z
Sc1 Sc 0.0000 0.0000 0.0828
Hg1 Hg 0.0000 0.0000 0.5000
Ir1 Ir 0.0000 0.0000 0.0000



# Sc2HgIr, relaxed, DFT PBE
# **Energy relative to the elements**: -1.23 eV/f.u.
# **D(E_F)**: 19.278 states/eV/cell
# **Uncorrected energy**: -69.16 eV/cell
# **Crystal system**: trigonal
data_Sc2HgIr
_symmetry_space_group_name_H-M 'R -3 m'
_symmetry_Int_Tables_number 166
_symmetry_space_group_name_Hall '-R 3 2"'
_cell_length_a 3.8192
_cell_length_b 3.8192
_cell_length_c 26.4970
_cell_angle_alpha 90.00
_cell_angle_beta 90.00
_cell_angle_gamma 120.00
loop_
_atom_site_label
_atom_site_type_symbol
_atom_site_fract_x
_atom_site_fract_y
_atom_site_fract_z
Sc1 Sc 0.0000 0.0000 0.1155
Hg1 Hg 0.0000 0.0000 0.0000
Ir1 Ir 0.0000 0.0000 0.5000



# Sc4HgIr, relaxed, DFT PBE
# **Energy relative to the elements**: 1.32 eV/f.u.
# **D(E_F)**: 31.757 states/eV/cell
# **Uncorrected energy**: -132.68 eV/cell
# **Crystal system**: cubic
data_Sc4HgIr
_symmetry_space_group_name_H-M 'F -4 3 m'
_symmetry_Int_Tables_number 216
_symmetry_space_group_name_Hall 'F -4 2 3'
_cell_length_a 7.830
_cell_length_b 7.830
_cell_length_c 7.830
_cell_angle_alpha 90.00
_cell_angle_beta 90.00
_cell_angle_gamma 90.00
loop_
_atom_site_label
_atom_site_type_symbol
_atom_site_fract_x
_atom_site_fract_y
_atom_site_fract_z
Sc1 Sc 0.123 0.123 0.377
Hg1 Hg 0.000 0.000 0.000
Ir1 Ir 0.250 0.250 0.750



# Sc6Hg5Ir, relaxed, DFT PBE
# **Energy relative to the elements**: -6.24 eV/f.u.
# **D(E_F)**: 16.654 states/eV/cell
# **Uncorrected energy**: -109.19 eV/cell
# **Crystal system**: orthorhombic
data_Sc6Hg5Ir
_symmetry_space_group_name_H-M 'C m m m'
_symmetry_Int_Tables_number 65
_symmetry_space_group_name_Hall '-C 2 2'
_cell_length_a 4.883
_cell_length_b 14.610
_cell_length_c 7.052
_cell_angle_alpha 90.00
_cell_angle_beta 90.00
_cell_angle_gamma 90.00
loop_
_atom_site_label
_atom_site_type_symbol
_atom_site_fract_x
_atom_site_fract_y
_atom_site_fract_z
Sc1 Sc 0.000 0.000 0.229
Sc2 Sc 0.000 0.344 0.239
Hg1 Hg 0.000 0.170 0.500
Hg2 Hg 0.000 0.175 0.000
Hg3 Hg 0.000 0.500 0.500
Ir1 Ir 0.000 0.500 0.000



# Sc2HgIr, relaxed, DFT PBE
# **Energy relative to the elements**: -1.74 eV/f.u.
# **D(E_F)**: 1.587 states/eV/cell
# **Uncorrected energy**: -23.57 eV/cell
# **Crystal system**: tetragonal
data_Sc2HgIr
_symmetry_space_group_name_H-M 'P 4 m m'
_symmetry_Int_Tables_number 99
_cell_length_a 3.743
_cell_length_b 3.743
_cell_length_c 5.961
_cell_angle_alpha 90.00
_cell_angle_beta 90.00
_cell_angle_gamma 90.00
loop_
_symmetry_equiv_pos_as_xyz
'x,y,z'
'-y,x,z'
'-x,-y,z'
'y,-x,z'
'-x,y,z'
'y,x,z'
'x,-y,z'
'-y,-x,z'
loop_
_atom_site_label
_atom_site_type_symbol
_atom_site_fract_x
_atom_site_fract_y
_atom_site_fract_z
Sc1 Sc 0.000 0.000 0.000
Sc2 Sc 0.500 0.500 0.324
Hg1 Hg 0.000 0.000 0.530
Ir1 Ir 0.500 0.500 0.892



Q: uncorrected energy of number 4 (Sc4HgIr)?
A: -132.68 eV/cell



Repeat the first record exactly.
# Sc2HgIr, relaxed, DFT PBE
# **Energy relative to the elements**: -1.23 eV/f.u.
# **D(E_F)**: 2.537 states/eV/cell
# **Uncorrected energy**: -23.06 eV/cell
# **Crystal system**: monoclinic
data_Sc2HgIr
_symmetry_space_group_name_H-M 'P 1 2/m 1'
_symmetry_Int_Tables_number 10
_cell_length_a 4.670
_cell_length_b 3.253
_cell_length_c 5.568
_cell_angle_alpha 90.00
_cell_angle_beta 103.08
_cell_angle_gamma 90.00
loop_
_symmetry_equiv_pos_as_xyz
'x,y,z'
'-x,-y,-z'
'-x,y,-z'
'x,-y,z'
loop_
_atom_site_label
_atom_site_type_symbol
_atom_site_fract_x
_atom_site_fract_y
_atom_site_fract_z
Sc1 Sc 0.000 0.000 0.000
Sc2 Sc 0.500 0.500 0.500
Hg1 Hg 0.000 0.000 0.500
Ir1 Ir 0.500 0.500 0.000